First-principles (PBE) data for an optimized crystal structure of GeAsAuO, as listed in the Open Quantum Materials Database.

Output
Offset from the most stable computed form, eV per atom: 0.771
Calculated volume, Å³/cell: 157.2
Crystal system: tetragonal
Space-group type: P4/nmm
Uncorrected energy, eV/cell: -32.94

a b c (Å): 4.359 4.359 8.273
angles (deg): 90.00 90.00 90.00
Fractional positions:
Ge: 0.250 0.750 0.000
Ge: 0.750 0.250 0.000
As: 0.250 0.250 0.174
As: 0.750 0.750 0.826
Au: 0.250 0.250 0.549
Au: 0.750 0.750 0.451
O: 0.250 0.750 0.500
O: 0.750 0.250 0.500



First-principles (PBE) data for an optimized crystal structure of NaCoSiGe, as listed in the Open Quantum Materials Database.

Output
Total moment, μB/cell: 0.001
Offset from the most stable computed form, eV per atom: 0.000
Calculated volume, Å³/cell: 57.3
Crystal system: cubic
Space-group type: F-43m
Uncorrected energy, eV/cell: -17.48

a b c (Å): 4.328 4.328 4.328
angles (deg): 60.00 60.00 60.00
Fractional positions:
Na: 0.000 0.000 0.000
Co: 0.500 0.500 0.500
Si: 0.250 0.250 0.250
Ge: 0.750 0.750 0.750



First-principles (PBE) data for an optimized crystal structure of SmCoSb2, as listed in the Open Quantum Materials Database.

Output
Total moment, μB/cell: 1.582
Calculated volume, Å³/cell: 183.3
Crystal system: tetragonal
Space-group type: P4/nmm
Uncorrected energy, eV/cell: -45.13

a b c (Å): 4.340 4.340 9.730
angles (deg): 90.00 90.00 90.00
Fractional positions:
Sm: 0.250 0.250 0.241
Sm: 0.750 0.750 0.759
Co: 0.250 0.750 0.000
Co: 0.750 0.250 0.000
Sb: 0.250 0.250 0.863
Sb: 0.250 0.750 0.500
Sb: 0.750 0.250 0.500
Sb: 0.750 0.750 0.137



First-principles (PBE) data for an optimized crystal structure of NaNbNi, as listed in the Open Quantum Materials Database.

Output
Total moment, μB/cell: 0.573
Offset from the most stable computed form, eV per atom: 0.000
Calculated volume, Å³/cell: 55.1
Crystal system: cubic
Space-group type: F-43m
Uncorrected energy, eV/cell: -14.24

a b c (Å): 4.272 4.272 4.272
angles (deg): 60.00 60.00 60.00
Fractional positions:
Na: 0.000 0.000 0.000
Nb: 0.500 0.500 0.500
Ni: 0.250 0.250 0.250



First-principles (PBE) data for an optimized crystal structure of Cs2KTcCl6, as listed in the Open Quantum Materials Database.

Output
Total moment, μB/cell: 1.999
Calculated volume, Å³/cell: 311.5
Crystal system: cubic
Space-group type: Fm-3m
Uncorrected energy, eV/cell: -38.78

a b c (Å): 7.609 7.609 7.609
angles (deg): 60.00 60.00 60.00
Fractional positions:
Cs: 0.250 0.250 0.250
Cs: 0.750 0.750 0.750
K: 0.000 0.000 0.000
Tc: 0.500 0.500 0.500
Cl: 0.276 0.276 0.724
Cl: 0.276 0.724 0.276
Cl: 0.276 0.724 0.724
Cl: 0.724 0.276 0.276
Cl: 0.724 0.276 0.724
Cl: 0.724 0.724 0.276



First-principles (PBE) data for an optimized crystal structure of LiSc2Ag, as listed in the Open Quantum Materials Database.

Output
Total moment, μB/cell: 0.002
Calculated volume, Å³/cell: 76.5
Crystal system: cubic
Space-group type: F-43m
Uncorrected energy, eV/cell: -17.21

a b c (Å): 4.766 4.766 4.766
angles (deg): 60.00 60.00 60.00
Fractional positions:
Li: 0.000 0.000 0.000
Sc: 0.500 0.500 0.500
Sc: 0.750 0.750 0.750
Ag: 0.250 0.250 0.250